The following is a GGA+U calculation of crystalline AcLaCoO4 at its relaxed geometry, from Alexandria via LeMat-Bulk.

Cell: 7.1219 7.1219 7.1219 Å, 147.97 147.97 45.93°
With the nearest neighbours (Å) after each atom.
Atoms (fractional coordinates):
Ac1 0.0000 0.0000 0.0000  5 O 2.42-2.69
La1 0.7249 0.7249 0.0000  1 O 2.32
Co1 0.3523 0.3523 0.0000  5 O 1.97-2.20
O1 0.1849 0.1849 0.0000  1 Co 2.20, 1 Ac 2.42
O2 0.3597 0.8597 0.5000  2 Co 1.97
O3 0.5476 0.5476 0.0000  1 La 2.32, 1 Co 2.56
O4 0.8597 0.3597 0.5000  2 Co 1.97

**E**: -7.517 eV/atom
**Total moment**: 2.97 μB per formula unit